Material: Rb2VTc3O12
Method: DFT, GGA+U
State: optimized geometry

a = 7.1963 Å, b = 7.1963 Å, c = 7.1963 Å
α = 60.62°, β = 60.62°, γ = 60.62°
Closest atoms and distances in Å follow each position.
Fractional positions:
Rb 0.1270 0.1270 0.1270  6 O 3.19-3.21
Rb 0.8730 0.8730 0.8730  6 O 3.19-3.21
V 0.5000 0.5000 0.5000  6 O 1.89
Tc 0.0000 0.5000 0.5000  6 O 1.92-1.93
Tc 0.5000 0.0000 0.5000  6 O 1.92-1.93
Tc 0.5000 0.5000 0.0000  6 O 1.92-1.93
O 0.1871 0.1871 0.5633  2 Tc 1.93
O 0.1871 0.5633 0.1871  2 Tc 1.93
O 0.1916 0.5613 0.5613  1 V 1.89, 1 Tc 1.92
O 0.4367 0.8129 0.8129  2 Tc 1.93
O 0.4387 0.4387 0.8084  1 V 1.89, 1 Tc 1.92
O 0.4387 0.8084 0.4387  1 V 1.89, 1 Tc 1.92
O 0.5613 0.1916 0.5613  1 V 1.89, 1 Tc 1.92
O 0.5613 0.5613 0.1916  1 V 1.89, 1 Tc 1.92
O 0.5633 0.1871 0.1871  2 Tc 1.93
O 0.8084 0.4387 0.4387  1 V 1.89, 1 Tc 1.92
O 0.8129 0.4367 0.8129  2 Tc 1.93
O 0.8129 0.8129 0.4367  2 Tc 1.93

Properties
As for the total energy: -7.0892 eV/atom. Its symmetry is No. 166. Its magnetization is 3.39 μB/f.u.